# PBE SrMg2ZnPd, optimized geometry
data_SrMg2ZnPd
_cell_length_a 5.044
_cell_length_b 5.044
_cell_length_c 5.025
_cell_angle_alpha 90.00
_cell_angle_beta 90.00
_cell_angle_gamma 90.00
_space_group_name_H-M_alt 'P 4/m m m'
_space_group_IT_number 123
_space_group_name_Hall '-P 4 2'
loop_
_atom_site_label
_atom_site_fract_x
_atom_site_fract_y
_atom_site_fract_z
Sr1 0.000 0.000 0.000
Mg1 0.000 0.500 0.500
Zn1 0.500 0.500 0.000
Pd1 0.500 0.500 0.500
# Energy   -2.550 eV/atom
# Energy of formation   -0.282 eV/atom
# Calculated volume   25.57 A^3/atom

# PBE MnAg2IN, optimized geometry
data_MnAg2IN
_cell_length_a 5.420
_cell_length_b 5.420
_cell_length_c 3.567
_cell_angle_alpha 90.00
_cell_angle_beta 90.00
_cell_angle_gamma 90.00
_space_group_name_H-M_alt 'P 4/m m m'
_space_group_IT_number 123
_space_group_name_Hall '-P 4 2'
loop_
_atom_site_label
_atom_site_fract_x
_atom_site_fract_y
_atom_site_fract_z
Mn1 0.000 0.000 0.000
Ag1 0.000 0.500 0.000
I1 0.500 0.500 0.500
N1 0.000 0.000 0.500
# Energy   -4.454 eV/atom
# ΔE_f (raw)   495.6 meV per atom
# Calculated volume   20.96 A^3/atom

# PBE SrZrCo2, optimized geometry
data_SrZrCo2
_cell_length_a 3.854
_cell_length_b 3.816
_cell_length_c 11.964
_cell_angle_alpha 90.00
_cell_angle_beta 90.00
_cell_angle_gamma 90.00
_space_group_name_H-M_alt 'A m m 2'
_space_group_IT_number 38
_space_group_name_Hall 'A 2 -2'
loop_
_atom_site_label
_atom_site_fract_x
_atom_site_fract_y
_atom_site_fract_z
Sr1 0.000 0.000 0.000
Zr1 0.500 0.000 0.727
Co1 0.000 0.000 0.273
Co2 0.500 0.000 0.368
# Energy   -5.965 eV/atom
# Energy of formation   0.145 eV/atom
# E above lowest polymorph   0.0816 eV/atom
# Calculated volume   21.99 A^3/atom